Record 1
Material: SrZn2Fe
Method: DFT, meta-GGA SCAN
State: PBEsol geometry

Its formation energy is 0.52 eV per formula unit. The value obtained for the calculated total energy is -16.728 eV per atom.

It has space group Pmmm (No. 47), with a = 2.9763 Å, b = 3.4757 Å, c = 6.9864 Å, α = 90.00°, β = 90.00° and γ = 90.00°. The asymmetric unit holds Sr at (0.0000, 0.0000, 0.0000), Zn at (0.5000, 0.5000, 0.3221) and Fe at (0.0000, 0.0000, 0.5000).



Record 2
Material: ZrCuSnPd2
Method: DFT, meta-GGA SCAN
State: PBEsol geometry

Its formation energy is 4.91 eV per formula unit. The value obtained for the calculated total energy is -28.492 eV per atom.

It has space group P4/mmm (No. 123), with a = 4.8226 Å, b = 4.8226 Å, c = 5.2723 Å, α = 90.00°, β = 90.00° and γ = 90.00°. The asymmetric unit holds Zr at (0.0000, 0.0000, 0.0000), Cu at (0.5000, 0.5000, 0.0000), Sn at (0.0000, 0.0000, 0.5000) and Pd at (0.0000, 0.5000, 0.5000).



Record 3
Material: Gd2SeOF2
Method: DFT, meta-GGA SCAN
State: PBEsol geometry

The formation energy from raw total energies comes out at -3.61 eV per atom. The value obtained for the calculated total energy is -28.784 eV per atom.

It has space group P6_3/m (No. 176), with a = 13.4008 Å, b = 13.4008 Å, c = 3.7547 Å, α = 90.00°, β = 90.00° and γ = 120.00°. The asymmetric unit holds Gd at (0.0559, 0.7656, 0.2500), Gd at (0.1188, 0.5159, 0.2500), Se at (0.2062, 0.7180, 0.7500), O at (0.0146, 0.4275, 0.7500), F at (0.0676, 0.3161, 0.2500) and F at (0.1014, 0.8926, 0.7500).



Record 4
Material: Rb2S2O7
Method: DFT, meta-GGA SCAN
State: PBEsol geometry

The formation energy from raw total energies comes out at -1.89 eV per atom. The value obtained for the calculated total energy is -11.380 eV per atom.

It has space group P2_1/c (No. 14), with a = 7.6118 Å, b = 7.5369 Å, c = 14.9541 Å, α = 90.00°, β = 119.56° and γ = 90.00°. The asymmetric unit holds Rb at (0.0180, 0.1292, 0.1568), Rb at (0.4374, 0.7203, 0.6322), S at (0.1027, 0.1764, 0.4188), S at (0.4868, 0.2161, 0.6117), O at (0.0008, 0.5157, 0.1335), O at (0.0039, 0.7144, 0.5427), O at (0.1822, 0.2195, 0.8643), O at (0.3025, 0.0933, 0.5216), O at (0.3890, 0.1599, 0.1482), O at (0.3979, 0.5785, 0.8142) and O at (0.4112, 0.6991, 0.4370).



Look up the calculated total energy of the fourth one. -11.380 eV per atom



What is the formula in the first record? SrZn2Fe